1.
Compound: CrMoRu
Source: the Alexandria database
Functional: PBE-GGA
Structure: relaxed

Unit cell a=4.8607 b=5.0487 c=8.3348 alpha=81.93 beta=73.05 gamma=61.22
With the nearest neighbours (Å) after each atom.
Sites, in units of the cell vectors:
Cr 0.1095 0.0000 0.7809  4 Ru 2.44-2.60, 4 Mo 2.46-2.68, 2 Cr 2.57
Ru 0.5573 0.8854 0.5000  4 Cr 2.44-2.60, 2 Ru 2.63
Cr 0.6405 0.5000 0.7191  4 Ru 2.44-2.60, 4 Mo 2.46-2.68, 2 Cr 2.57
Mo 0.3338 0.5000 0.3323  4 Cr 2.46-2.68, 1 Mo 2.67
Ru 0.9427 0.1146 0.5000  4 Cr 2.44-2.60, 2 Ru 2.63
Cr 0.8595 0.5000 0.2809  4 Ru 2.44-2.60, 4 Mo 2.46-2.68, 2 Cr 2.57
Cr 0.8905 0.0000 0.2191  4 Ru 2.44-2.60, 4 Mo 2.46-2.68, 2 Cr 2.57
Mo 0.5838 0.0000 0.8323  4 Cr 2.46-2.68, 1 Mo 2.67
Mo 0.1662 0.5000 0.6677  4 Cr 2.46-2.68, 1 Mo 2.67
Mo 0.4162 0.0000 0.1677  4 Cr 2.46-2.68, 1 Mo 2.67
Ru 0.1927 0.6146 0.0000  4 Cr 2.44-2.60, 2 Ru 2.63
Ru 0.8073 0.3854 0.0000  4 Cr 2.44-2.60, 2 Ru 2.63

=====

2.
Compound: CrMo2Ru2
Source: the Alexandria database
Functional: PBE-GGA
Structure: relaxed

Unit cell a=7.3194 b=7.3194 c=2.8552 alpha=90.00 beta=90.00 gamma=90.00
With the nearest neighbours (Å) after each atom.
Sites, in units of the cell vectors:
Cr 0.5000 0.5000 0.0000  2 Cr 2.86, 4 Ru 2.86, 8 Mo 3.07
Cr 0.0000 0.0000 0.0000  2 Cr 2.86, 4 Ru 2.86, 8 Mo 3.07
Mo 0.1682 0.6682 0.5000  6 Ru 2.51-2.63
Ru 0.1318 0.3682 0.0000  6 Mo 2.51-2.63, 1 Ru 2.73
Ru 0.8682 0.6318 0.0000  6 Mo 2.51-2.63, 1 Ru 2.73
Mo 0.3318 0.1682 0.5000  6 Ru 2.51-2.63
Ru 0.3682 0.8682 0.0000  6 Mo 2.51-2.63, 1 Ru 2.73
Mo 0.6682 0.8318 0.5000  6 Ru 2.51-2.63
Ru 0.6318 0.1318 0.0000  6 Mo 2.51-2.63, 1 Ru 2.73
Mo 0.8318 0.3318 0.5000  6 Ru 2.51-2.63

=====

3.
Compound: Cr2Mo2Ru
Source: the Alexandria database
Functional: PBE-GGA
Structure: relaxed

Unit cell a=3.9501 b=3.9501 c=5.6467 alpha=69.53 beta=69.53 gamma=90.00
With the nearest neighbours (Å) after each atom.
Sites, in units of the cell vectors:
Cr 0.6064 0.6064 0.7872  1 Cr 2.09
Mo 0.7500 0.2500 0.5000  4 Cr 2.43
Cr 0.3936 0.3936 0.2128  1 Cr 2.09
Ru 0.0000 0.0000 0.0000  8 Cr 2.98, 8 Mo 3.15
Mo 0.2500 0.7500 0.5000  4 Cr 2.43

=====

4.
Compound: CrMoRu4
Source: the Alexandria database
Functional: PBE-GGA
Structure: relaxed

Unit cell a=5.0475 b=5.0475 c=5.0475 alpha=60.00 beta=60.00 gamma=60.00
With the nearest neighbours (Å) after each atom.
Sites, in units of the cell vectors:
Ru 0.8733 0.3756 0.3756  6 Ru 2.51-2.54
Cr 0.7500 0.7500 0.7500  12 Ru 2.96, 4 Mo 3.09
Ru 0.3756 0.3756 0.3756  6 Ru 2.51-2.54
Ru 0.3756 0.8733 0.3756  6 Ru 2.51-2.54
Mo 0.0000 0.0000 0.0000  12 Ru 2.96, 4 Cr 3.09
Ru 0.3756 0.3756 0.8733  6 Ru 2.51-2.54

=====

5.
Compound: CrMoRu2
Source: the Alexandria database
Functional: PBE-GGA
Structure: relaxed

Unit cell a=4.6400 b=4.6400 c=2.7424 alpha=90.00 beta=90.00 gamma=107.74
With the nearest neighbours (Å) after each atom.
Sites, in units of the cell vectors:
Ru 0.0000 0.0000 0.0000  4 Cr 2.69, 4 Mo 2.69, 4 Ru 2.74
Cr 0.5000 0.0000 0.5000  8 Ru 2.69, 2 Mo 2.74, 2 Cr 2.74
Mo 0.0000 0.5000 0.5000  8 Ru 2.69, 2 Cr 2.74, 2 Mo 2.74
Ru 0.5000 0.5000 0.0000  4 Mo 2.69, 4 Cr 2.69, 4 Ru 2.74

=====

6.
Compound: CrMoRu2
Source: the Alexandria database
Functional: PBE-GGA
Structure: relaxed

Unit cell a=4.6452 b=4.6452 c=4.6452 alpha=130.96 beta=130.96 gamma=71.88
With the nearest neighbours (Å) after each atom.
Sites, in units of the cell vectors:
Mo 0.7500 0.2500 0.5000  8 Ru 2.69, 4 Cr 2.73
Ru 0.5000 0.5000 0.0000  4 Mo 2.69, 4 Cr 2.69, 4 Ru 2.73
Cr 0.2500 0.7500 0.5000  8 Ru 2.69, 4 Mo 2.73
Ru 0.0000 0.0000 0.0000  4 Cr 2.69, 4 Mo 2.69, 4 Ru 2.73

=====

7.
Compound: CrMoRu
Source: the Alexandria database
Functional: PBE-GGA
Structure: relaxed

Unit cell a=4.2447 b=4.2447 c=2.6922 alpha=90.00 beta=90.00 gamma=120.00
With the nearest neighbours (Å) after each atom.
Sites, in units of the cell vectors:
Mo 0.6667 0.3333 0.2825  3 Cr 2.53, 3 Ru 2.67, 2 Mo 2.69
Ru 0.3333 0.6667 0.6736  3 Cr 2.65, 6 Mo 2.67-2.95, 2 Ru 2.69
Cr 0.0000 0.0000 0.0440  3 Mo 2.53, 3 Ru 2.65, 2 Cr 2.69

=====

8.
Compound: CrMoRu2
Source: the Alexandria database
Functional: PBE-GGA
Structure: relaxed

Unit cell a=4.3419 b=4.3419 c=4.3419 alpha=60.00 beta=60.00 gamma=60.00
With the nearest neighbours (Å) after each atom.
Sites, in units of the cell vectors:
Ru 0.7500 0.7500 0.7500  4 Cr 2.66, 4 Mo 2.66
Cr 0.0000 0.0000 0.0000  8 Ru 2.66
Ru 0.2500 0.2500 0.2500  4 Cr 2.66, 4 Mo 2.66
Mo 0.5000 0.5000 0.5000  8 Ru 2.66

=====

9.
Compound: CrMo3Ru
Source: the Alexandria database
Functional: PBE-GGA
Structure: relaxed

Unit cell a=4.4055 b=4.4055 c=4.4055 alpha=90.00 beta=90.00 gamma=90.00
With the nearest neighbours (Å) after each atom.
Sites, in units of the cell vectors:
Ru 0.5000 0.5000 0.5000  12 Mo 3.12
Mo 0.0000 0.5000 0.0000  2 Cr 2.20
Mo 0.0000 0.0000 0.5000  2 Cr 2.20
Mo 0.5000 0.0000 0.0000  2 Cr 2.20
Cr 0.0000 0.0000 0.0000  6 Mo 2.20

=====

10.
Compound: CrMoRu2
Source: the Alexandria database
Functional: PBE-GGA
Structure: relaxed

Unit cell a=3.0571 b=3.0571 c=6.0852 alpha=90.00 beta=90.00 gamma=90.00
With the nearest neighbours (Å) after each atom.
Sites, in units of the cell vectors:
Ru 0.5000 0.5000 0.2942  4 Cr 2.42
Cr 0.0000 0.0000 0.4733  4 Ru 2.42
Ru 0.0000 0.0000 0.9880  4 Mo 2.62, 4 Ru 2.85
Mo 0.5000 0.5000 0.7444  5 Ru 2.62-2.74, 4 Cr 2.72

=====

11.
Compound: CrMo2Ru
Source: the Alexandria database
Functional: PBE-GGA
Structure: relaxed

Unit cell a=4.8495 b=4.8495 c=4.8495 alpha=133.53 beta=133.53 gamma=67.82
With the nearest neighbours (Å) after each atom.
Sites, in units of the cell vectors:
Mo 0.0000 0.0000 0.0000  4 Mo 2.71, 4 Ru 2.78, 4 Cr 2.78
Cr 0.7500 0.2500 0.5000  4 Ru 2.71, 8 Mo 2.78
Mo 0.5000 0.5000 0.0000  4 Mo 2.71, 4 Cr 2.78, 4 Ru 2.78
Ru 0.2500 0.7500 0.5000  4 Cr 2.71, 8 Mo 2.78

=====

12.
Compound: CrMo2Ru
Source: the Alexandria database
Functional: PBE-GGA
Structure: relaxed

Unit cell a=2.6866 b=2.6866 c=8.2096 alpha=90.00 beta=90.00 gamma=101.46
With the nearest neighbours (Å) after each atom.
Sites, in units of the cell vectors:
Mo 0.5000 0.5000 0.2621  6 Mo 2.69-2.85, 4 Ru 2.72-2.97
Ru 0.0000 0.0000 0.5205  4 Cr 2.44-2.72, 4 Ru 2.69, 2 Mo 2.72
Cr 0.5000 0.5000 0.7336  4 Ru 2.44-2.72, 2 Mo 2.67, 4 Cr 2.69
Mo 0.0000 0.0000 0.9838  4 Cr 2.67-2.92, 6 Mo 2.69-2.85

=====

13.
Compound: CrMoRu2
Source: the Alexandria database
Functional: PBE-GGA
Structure: relaxed

Unit cell a=4.0853 b=2.7324 c=5.2044 alpha=75.54 beta=90.00 gamma=90.00
With the nearest neighbours (Å) after each atom.
Sites, in units of the cell vectors:
Cr 0.0000 0.6516 0.4817  2 Mo 2.48, 6 Ru 2.57-2.77, 2 Cr 2.73
Mo 0.5000 0.6040 0.7575  2 Cr 2.48, 6 Ru 2.63-2.74, 2 Mo 2.73
Ru 0.0000 0.9613 0.9729  2 Cr 2.57-2.77, 4 Mo 2.63-2.74, 2 Ru 2.73
Ru 0.5000 0.2830 0.2878  4 Cr 2.59-2.70, 3 Mo 2.67-2.80, 4 Ru 2.73-2.89

=====

14.
Compound: CrMo2Ru
Source: the Alexandria database
Functional: PBE-GGA
Structure: relaxed

Unit cell a=2.7273 b=2.7273 c=7.8346 alpha=90.00 beta=90.00 gamma=90.00
With the nearest neighbours (Å) after each atom.
Sites, in units of the cell vectors:
Cr 0.5000 0.5000 0.7500  4 Cr 2.73, 8 Mo 2.74
Mo 0.0000 0.0000 0.9993  4 Mo 2.73, 4 Cr 2.74, 4 Ru 2.75
Mo 0.0000 0.0000 0.5007  4 Mo 2.73, 4 Cr 2.74, 4 Ru 2.75
Ru 0.5000 0.5000 0.2500  4 Ru 2.73, 8 Mo 2.75

=====

15.
Compound: CrMo2Ru
Source: the Alexandria database
Functional: PBE-GGA
Structure: relaxed

Unit cell a=2.6899 b=2.6899 c=8.0500 alpha=90.00 beta=90.00 gamma=90.00
With the nearest neighbours (Å) after each atom.
Sites, in units of the cell vectors:
Ru 0.0000 0.0000 0.5248  4 Cr 2.52, 4 Ru 2.69
Mo 0.0000 0.0000 0.9798  8 Mo 2.69-2.99, 4 Cr 2.77
Mo 0.5000 0.5000 0.2660  8 Mo 2.69-2.99, 4 Ru 2.82
Cr 0.5000 0.5000 0.7294  4 Ru 2.52, 4 Cr 2.69, 4 Mo 2.77

=====

16.
Compound: CrMo2Ru
Source: the Alexandria database
Functional: PBE-GGA
Structure: relaxed

Unit cell a=4.3626 b=4.3626 c=4.3626 alpha=60.00 beta=60.00 gamma=60.00
With the nearest neighbours (Å) after each atom.
Sites, in units of the cell vectors:
Mo 0.0000 0.0000 0.0000  4 Mo 2.67, 4 Ru 2.67
Ru 0.2500 0.2500 0.2500  4 Mo 2.67, 4 Cr 2.67
Mo 0.7500 0.7500 0.7500  4 Cr 2.67, 4 Mo 2.67
Cr 0.5000 0.5000 0.5000  4 Ru 2.67, 4 Mo 2.67

=====

17.
Compound: Cr4MoRu
Source: the Alexandria database
Functional: PBE-GGA
Structure: relaxed

Unit cell a=4.7675 b=4.7675 c=4.7675 alpha=60.00 beta=60.00 gamma=60.00
With the nearest neighbours (Å) after each atom.
Sites, in units of the cell vectors:
Cr 0.6237 0.1288 0.6237  6 Cr 2.36-2.41
Cr 0.6237 0.6237 0.6237  6 Cr 2.36-2.41
Cr 0.1288 0.6237 0.6237  6 Cr 2.36-2.41
Mo 0.2500 0.2500 0.2500  12 Cr 2.79, 4 Ru 2.92
Ru 0.0000 0.0000 0.0000  12 Cr 2.80, 4 Mo 2.92
Cr 0.6237 0.6237 0.1288  6 Cr 2.36-2.41

=====

18.
Compound: CrMo2Ru
Source: the Alexandria database
Functional: PBE-GGA
Structure: relaxed

Unit cell a=3.0401 b=3.0402 c=6.2663 alpha=90.00 beta=90.00 gamma=90.00
With the nearest neighbours (Å) after each atom.
Sites, in units of the cell vectors:
Cr 0.5000 0.5000 0.7651  4 Mo 2.53, 4 Ru 2.69
Mo 0.5000 0.5000 0.2507  4 Ru 2.68, 4 Mo 2.75
Ru 0.0000 0.0000 0.5073  5 Mo 2.68-2.94, 4 Cr 2.69
Mo 0.0000 0.0000 0.9769  4 Cr 2.53, 4 Mo 2.75

=====

19.
Compound: CrMo2Ru
Source: the Alexandria database
Functional: PBE-GGA
Structure: relaxed

Unit cell a=9.1839 b=9.1839 c=9.1839 alpha=17.14 beta=17.14 gamma=17.14
With the nearest neighbours (Å) after each atom.
Sites, in units of the cell vectors:
Ru 0.2500 0.2500 0.2500  6 Ru 2.74, 6 Mo 2.77
Mo 0.0004 0.0004 0.0004  6 Mo 2.74, 3 Cr 2.75, 3 Ru 2.77
Mo 0.4996 0.4996 0.4996  6 Mo 2.74, 3 Cr 2.75, 3 Ru 2.77
Cr 0.7500 0.7500 0.7500  6 Cr 2.74, 6 Mo 2.75

=====

20.
Compound: CrMoRu2
Source: the Alexandria database
Functional: PBE-GGA
Structure: relaxed

Unit cell a=4.6791 b=4.6791 c=4.6676 alpha=80.39 beta=80.39 gamma=33.90
With the nearest neighbours (Å) after each atom.
Sites, in units of the cell vectors:
Cr 0.4928 0.4928 0.5198  7 Ru 2.61-2.78, 3 Mo 2.70-2.79, 2 Cr 2.73
Ru 0.7506 0.7506 0.7384  3 Cr 2.61-2.68, 4 Mo 2.67-2.73, 5 Ru 2.68-2.76
Mo 0.2509 0.2509 0.2454  7 Ru 2.66-2.74, 3 Cr 2.70-2.79, 2 Mo 2.73
Ru 0.0057 0.0057 0.9964  4 Cr 2.63-2.78, 3 Mo 2.66-2.74, 5 Ru 2.68-2.76

=====

no.,magnetic moment (μB per formula unit),DOS(E_F) (states/eV per atom),uncorrected energy (eV/cell)
1,0.0,0.861,-115.72
2,0.0,0.969,-95.68
3,0.0,1.903,-45.85
4,2.7,1.673,-55.00
5,0.9,1.407,-38.48
6,0.0,1.463,-38.58
7,0.0,1.626,-29.15
8,3.7,1.245,-38.24
9,0.0,1.306,-44.87
10,0.0,1.089,-38.23
11,2.0,1.420,-39.64
12,0.0,1.101,-39.91
13,0.0,1.185,-38.38
14,0.4,1.387,-39.56
15,0.0,1.238,-39.85
16,2.1,1.456,-39.95
17,0.0,1.326,-58.19
18,0.0,0.976,-40.02
19,1.5,1.280,-39.29
20,0.0,1.094,-38.46